(1)
Ca2CuIrO6: PBEsol geometry, meta-GGA SCAN.

a = 5.3284 Å, b = 5.6093 Å, c = 7.5097 Å
α = 90.00°, β = 90.31°, γ = 90.00°
Closest atoms and distances in Å follow each position.
Atoms (fractional coordinates):
Ca1 0.4826 0.5662 0.2511  6 O 2.29-2.52
Ca2 0.0174 0.0662 0.2489  6 O 2.29-2.52
Ca3 0.9826 0.9338 0.7511  6 O 2.29-2.52
Ca4 0.5174 0.4338 0.7489  6 O 2.29-2.52
Cu1 0.5000 0.0000 0.5000  6 O 1.98-2.08
Cu2 0.0000 0.5000 0.0000  6 O 1.98-2.08
Ir1 0.5000 0.0000 0.0000  6 O 1.94-1.95
Ir2 0.0000 0.5000 0.5000  6 O 1.94-1.95
O1 0.3989 0.0330 0.7521  1 Ir 1.94, 1 Cu 1.98
O2 0.2975 0.3092 0.4508  1 Ir 1.95, 1 Cu 2.07
O3 0.3148 0.2917 0.0534  1 Ir 1.95, 1 Cu 2.08
O4 0.1852 0.7917 0.4466  1 Ir 1.95, 1 Cu 2.08
O5 0.2025 0.8092 0.0492  1 Ir 1.95, 1 Cu 2.07
O6 0.1011 0.5330 0.7479  1 Ir 1.94, 1 Cu 1.98
O7 0.8989 0.4670 0.2521  1 Ir 1.94, 1 Cu 1.98
O8 0.7975 0.1908 0.9508  1 Ir 1.95, 1 Cu 2.07
O9 0.8148 0.2083 0.5534  1 Ir 1.95, 1 Cu 2.08
O10 0.7025 0.6908 0.5492  1 Ir 1.95, 1 Cu 2.07
O11 0.6852 0.7083 0.9466  1 Ir 1.95, 1 Cu 2.08
O12 0.6011 0.9670 0.2479  1 Ir 1.94, 1 Cu 1.98

Values from the calculation:
The value obtained for the uncorrected formation energy is -1.8382 eV per atom. The crystal system is monoclinic. As for the symmetry: P2_1/c, No. 14.



(2)
Hf3AlTe: PBEsol geometry, meta-GGA SCAN.

a = 4.9216 Å, b = 4.9216 Å, c = 4.9216 Å
α = 90.00°, β = 90.00°, γ = 90.00°
Closest atoms and distances in Å follow each position.
Atoms (fractional coordinates):
Te1 0.5000 0.5000 0.5000  12 Hf 3.48
Hf1 0.0000 0.5000 0.0000  2 Al 2.46
Hf2 0.0000 0.0000 0.5000  2 Al 2.46
Hf3 0.5000 0.0000 0.0000  2 Al 2.46
Al1 0.0000 0.0000 0.0000  6 Hf 2.46

Values from the calculation:
The value obtained for the uncorrected formation energy is 0.6506 eV per atom. The crystal system is cubic. As for the symmetry: Pm-3m, No. 221.



(3)
AgPb2: PBEsol geometry, meta-GGA SCAN.

a = 4.1780 Å, b = 4.9811 Å, c = 7.5158 Å
α = 90.00°, β = 106.14°, γ = 90.00°
Closest atoms and distances in Å follow each position.
Atoms (fractional coordinates):
Pb1 0.0787 0.2500 0.1574  6 Ag 2.97-3.25, 2 Pb 3.30
Pb2 0.9213 0.7500 0.8426  6 Ag 2.97-3.25, 2 Pb 3.30
Pb3 0.7710 0.2500 0.5420  2 Ag 3.13, 8 Pb 3.30-3.47
Pb4 0.2290 0.7500 0.4580  2 Ag 3.13, 8 Pb 3.30-3.47
Ag1 0.4321 0.2500 0.8642  8 Pb 2.97-3.25, 2 Ag 3.17
Ag2 0.5679 0.7500 0.1358  8 Pb 2.97-3.25, 2 Ag 3.17

Values from the calculation:
The crystal system is orthorhombic. As for the symmetry: Cmcm, No. 63. The value obtained for the formation energy is 0.119 eV/atom.



(4)
Li3Ga7: PBEsol geometry, meta-GGA SCAN.

a = 7.4753 Å, b = 7.4753 Å, c = 7.4753 Å
α = 68.40°, β = 68.40°, γ = 68.40°
Closest atoms and distances in Å follow each position.
Atoms (fractional coordinates):
Li1 0.8787 0.4808 0.8787  9 Ga 2.84-2.94, 1 Li 3.14
Li2 0.4808 0.8787 0.8787  9 Ga 2.84-2.94, 1 Li 3.14
Li3 0.5192 0.1213 0.1213  9 Ga 2.84-2.94, 1 Li 3.14
Li4 0.8787 0.8787 0.4808  9 Ga 2.84-2.94, 1 Li 3.14
Li5 0.1213 0.1213 0.5192  9 Ga 2.84-2.94, 1 Li 3.14
Li6 0.1213 0.5192 0.1213  9 Ga 2.84-2.94, 1 Li 3.14
Ga1 0.4911 0.1742 0.4911  6 Ga 2.51-2.67
Ga2 0.7048 0.1810 0.7048  6 Ga 2.53-2.74
Ga3 0.2952 0.2952 0.8190  6 Ga 2.53-2.74
Ga4 0.5089 0.8258 0.5089  6 Ga 2.51-2.67
Ga5 0.7048 0.7048 0.1810  6 Ga 2.53-2.74
Ga6 0.8258 0.5089 0.5089  6 Ga 2.51-2.67
Ga7 0.2952 0.8190 0.2952  6 Ga 2.53-2.74
Ga8 0.0763 0.0763 0.0763  4 Ga 2.53-2.60
Ga9 0.5089 0.5089 0.8258  6 Ga 2.51-2.67
Ga10 0.8190 0.2952 0.2952  6 Ga 2.53-2.74
Ga11 0.1742 0.4911 0.4911  6 Ga 2.51-2.67
Ga12 0.1810 0.7048 0.7048  6 Ga 2.53-2.74
Ga13 0.4911 0.4911 0.1742  6 Ga 2.51-2.67
Ga14 0.9237 0.9237 0.9237  4 Ga 2.53-2.60

Values from the calculation:
The crystal system is trigonal. As for the symmetry: R-3m, No. 166. The value obtained for the formation energy is -0.271 eV/atom.



(5)
MgZnRe2F: PBEsol geometry, meta-GGA SCAN.

a = 3.7812 Å, b = 4.8177 Å, c = 4.8177 Å
α = 90.00°, β = 90.00°, γ = 90.00°
Closest atoms and distances in Å follow each position.
Atoms (fractional coordinates):
Re1 0.0000 0.0000 0.5000  2 Zn 2.41
Re2 0.0000 0.5000 0.0000  2 Zn 2.41
Zn1 0.0000 0.0000 0.0000  2 F 1.89
Mg1 0.5000 0.5000 0.5000  8 Re 3.06, 4 F 3.41
F1 0.5000 0.0000 0.0000  2 Zn 1.89

Values from the calculation:
The value obtained for the uncorrected formation energy is 1.3743 eV per atom. The crystal system is tetragonal. As for the symmetry: P4/mmm, No. 123.



(6)
Hf2MgAs: PBEsol geometry, meta-GGA SCAN.

a = 5.7416 Å, b = 6.0821 Å, c = 6.0821 Å
α = 77.13°, β = 61.84°, γ = 61.84°
Closest atoms and distances in Å follow each position.
Atoms (fractional coordinates):
As1 0.0000 0.0000 0.0000  4 Hf 2.63, 2 Mg 2.87
As2 0.7500 0.5000 0.5000  4 Hf 2.63, 2 Mg 2.87
Hf1 0.6550 0.9700 0.4700  2 As 2.63, 2 Hf 2.91, 2 Mg 2.94
Hf2 0.0950 0.0300 0.5300  2 As 2.63, 2 Hf 2.91, 2 Mg 2.94
Hf3 0.3750 0.5300 0.9700  2 As 2.63, 2 Hf 2.91, 2 Mg 2.94
Hf4 0.8750 0.4700 0.0300  2 As 2.63, 2 Hf 2.91, 2 Mg 2.94
Mg1 0.5000 0.0000 0.0000  2 As 2.87, 4 Hf 2.94
Mg2 0.2500 0.5000 0.5000  2 As 2.87, 4 Hf 2.94

Values from the calculation:
The crystal system is tetragonal. As for the symmetry: I-42d, No. 122. The value obtained for the formation energy is -0.090 eV/atom.



(7)
TaCdRe: PBEsol geometry, meta-GGA SCAN.

a = 4.4083 Å, b = 4.4083 Å, c = 4.4083 Å
α = 60.00°, β = 60.00°, γ = 60.00°
Closest atoms and distances in Å follow each position.
Atoms (fractional coordinates):
Re1 0.5000 0.5000 0.5000  4 Ta 2.70
Cd1 0.0000 0.0000 0.0000  4 Ta 2.70
Ta1 0.2500 0.2500 0.2500  4 Cd 2.70, 4 Re 2.70

Values from the calculation:
The offset from the most stable computed form is 823 meV/atom. The crystal system is cubic. As for the symmetry: F-43m, No. 216. The value obtained for the formation energy is 0.964 eV/atom.



(8)
Hf2AgPd2: PBEsol geometry, meta-GGA SCAN.

a = 3.2721 Å, b = 7.3833 Å, c = 7.3833 Å
α = 90.00°, β = 90.00°, γ = 90.00°
Closest atoms and distances in Å follow each position.
Atoms (fractional coordinates):
Hf1 0.5000 0.1707 0.6707  6 Pd 2.65-2.77
Hf2 0.5000 0.6707 0.8293  6 Pd 2.65-2.77
Hf3 0.5000 0.8293 0.3293  6 Pd 2.65-2.77
Hf4 0.5000 0.3293 0.1707  6 Pd 2.65-2.77
Pd1 0.0000 0.3703 0.8703  6 Hf 2.65-2.77, 1 Pd 2.71, 2 Ag 2.90
Pd2 0.0000 0.8703 0.6297  6 Hf 2.65-2.77, 1 Pd 2.71, 2 Ag 2.90
Pd3 0.0000 0.6297 0.1297  6 Hf 2.65-2.77, 1 Pd 2.71, 2 Ag 2.90
Pd4 0.0000 0.1297 0.3703  6 Hf 2.65-2.77, 1 Pd 2.71, 2 Ag 2.90
Ag1 0.0000 0.0000 0.0000  4 Pd 2.90, 8 Hf 3.19
Ag2 0.0000 0.5000 0.5000  4 Pd 2.90, 8 Hf 3.19

Values from the calculation:
The crystal system is tetragonal. As for the symmetry: P4/mbm, No. 127. The value obtained for the formation energy is -0.576 eV/atom.



(9)
ReNi: PBEsol geometry, meta-GGA SCAN.

a = 2.5513 Å, b = 4.0364 Å, c = 4.9817 Å
α = 90.00°, β = 104.84°, γ = 90.00°
Closest atoms and distances in Å follow each position.
Atoms (fractional coordinates):
Re1 0.8265 0.7500 0.6529  7 Ni 2.54-2.61, 6 Re 2.55-2.81
Re2 0.1735 0.2500 0.3471  7 Ni 2.54-2.61, 6 Re 2.55-2.81
Ni1 0.5629 0.7500 0.1257  4 Ni 2.35-2.55, 7 Re 2.54-2.61
Ni2 0.4371 0.2500 0.8743  4 Ni 2.35-2.55, 7 Re 2.54-2.61

Values from the calculation:
The crystal system is orthorhombic. As for the symmetry: Cmcm, No. 63. The value obtained for the formation energy is -0.007 eV/atom.



(10)
TaFeRe2: PBEsol geometry, meta-GGA SCAN.

a = 2.6737 Å, b = 4.3194 Å, c = 5.1365 Å
α = 90.00°, β = 100.69°, γ = 90.00°
Closest atoms and distances in Å follow each position.
Atoms (fractional coordinates):
Fe1 0.2518 0.5000 0.7505  4 Re 2.60-2.73, 2 Ta 2.63, 2 Fe 2.67
Re1 0.0076 0.0000 0.0025  4 Re 2.63-2.67, 2 Ta 2.64-2.69, 2 Fe 2.66
Re2 0.7435 0.5000 0.2370  2 Fe 2.60-2.73, 4 Re 2.63-2.67, 2 Ta 2.72
Ta1 0.4971 0.0000 0.5099  2 Fe 2.63, 4 Re 2.64-2.72, 2 Ta 2.67

Values from the calculation:
The crystal system is monoclinic. As for the symmetry: Pm, No. 6. The value obtained for the formation energy is -0.090 eV/atom.



(11)
LaGeTe3: PBEsol geometry, meta-GGA SCAN.

a = 5.3447 Å, b = 5.3447 Å, c = 5.3447 Å
α = 90.00°, β = 90.00°, γ = 90.00°
Closest atoms and distances in Å follow each position.
Atoms (fractional coordinates):
Ge1 0.0000 0.0000 0.0000  6 Te 2.67
Te1 0.0000 0.5000 0.0000  2 Ge 2.67
Te2 0.0000 0.0000 0.5000  2 Ge 2.67
Te3 0.5000 0.0000 0.0000  2 Ge 2.67
La1 0.5000 0.5000 0.5000  12 Te 3.78

Values from the calculation:
The value obtained for the uncorrected formation energy is -0.5199 eV per atom. The crystal system is cubic. As for the symmetry: Pm-3m, No. 221.



(12)
MgAl3I: PBEsol geometry, meta-GGA SCAN.

a = 5.2323 Å, b = 5.2323 Å, c = 5.2323 Å
α = 90.00°, β = 90.00°, γ = 90.00°
Closest atoms and distances in Å follow each position.
Atoms (fractional coordinates):
I1 0.5000 0.5000 0.5000  12 Al 3.70
Mg1 0.0000 0.0000 0.0000  6 Al 2.62
Al1 0.0000 0.5000 0.0000  2 Mg 2.62
Al2 0.0000 0.0000 0.5000  2 Mg 2.62
Al3 0.5000 0.0000 0.0000  2 Mg 2.62

Values from the calculation:
The offset from the most stable computed form is 0 meV/atom. The value obtained for the uncorrected formation energy is 0.7126 eV per atom. The crystal system is cubic. As for the symmetry: Pm-3m, No. 221.



(13)
MnPPd3: PBEsol geometry, meta-GGA SCAN.

a = 4.5215 Å, b = 4.5215 Å, c = 4.5215 Å
α = 90.00°, β = 90.00°, γ = 90.00°
Closest atoms and distances in Å follow each position.
Atoms (fractional coordinates):
P1 0.5000 0.5000 0.5000  12 Pd 3.20
Mn1 0.0000 0.0000 0.0000  6 Pd 2.26
Pd1 0.0000 0.5000 0.0000  2 Mn 2.26
Pd2 0.0000 0.0000 0.5000  2 Mn 2.26
Pd3 0.5000 0.0000 0.0000  2 Mn 2.26

Values from the calculation:
The offset from the most stable computed form is 1158 meV/atom. The crystal system is cubic. As for the symmetry: Pm-3m, No. 221. The value obtained for the formation energy is 0.910 eV/atom.



(14)
LaHf2Sn2: PBEsol geometry, meta-GGA SCAN.

a = 4.3616 Å, b = 4.3616 Å, c = 7.3553 Å
α = 107.25°, β = 107.25°, γ = 90.00°
Closest atoms and distances in Å follow each position.
Atoms (fractional coordinates):
Hf1 0.2500 0.7500 0.5000  4 Sn 2.91, 4 Hf 3.08
Hf2 0.7500 0.2500 0.5000  4 Sn 2.91, 4 Hf 3.08
Sn1 0.3942 0.3942 0.7884  1 Sn 2.83, 4 Hf 2.91
Sn2 0.6058 0.6058 0.2116  1 Sn 2.83, 4 Hf 2.91
La1 0.0000 0.0000 0.0000  8 Sn 3.39

Values from the calculation:
The crystal system is tetragonal. As for the symmetry: I4/mmm, No. 139. The value obtained for the formation energy is -0.531 eV/atom.



(15)
MgBeP2Cl: PBEsol geometry, meta-GGA SCAN.

a = 4.0461 Å, b = 4.0461 Å, c = 5.5642 Å
α = 90.00°, β = 90.00°, γ = 90.00°
Closest atoms and distances in Å follow each position.
Atoms (fractional coordinates):
P1 0.0000 0.5000 0.0000  2 Be 2.02
P2 0.5000 0.0000 0.0000  2 Be 2.02
Mg1 0.5000 0.5000 0.5000  4 Cl 2.86
Be1 0.0000 0.0000 0.0000  4 P 2.02
Cl1 0.0000 0.0000 0.5000  2 Be 2.78, 4 Mg 2.86

Values from the calculation:
The value obtained for the uncorrected formation energy is 0.0657 eV per atom. The crystal system is tetragonal. As for the symmetry: P4/mmm, No. 123.



(16)
BaNiTe2Ru: PBEsol geometry, meta-GGA SCAN.

a = 4.5741 Å, b = 5.2851 Å, c = 5.2851 Å
α = 90.00°, β = 90.00°, γ = 90.00°
Closest atoms and distances in Å follow each position.
Atoms (fractional coordinates):
Ru1 0.0000 0.0000 0.0000  2 Ni 2.29
Te1 0.0000 0.0000 0.5000  2 Ru 2.64
Te2 0.0000 0.5000 0.0000  2 Ru 2.64
Ba1 0.5000 0.5000 0.5000  8 Te 3.49, 4 Ni 3.74
Ni1 0.5000 0.0000 0.0000  2 Ru 2.29

Values from the calculation:
The value obtained for the uncorrected formation energy is -0.1837 eV per atom. The crystal system is tetragonal. As for the symmetry: P4/mmm, No. 123.



(17)
BeSi3: PBEsol geometry, meta-GGA SCAN.

a = 5.0125 Å, b = 5.0203 Å, c = 5.0203 Å
α = 120.02°, β = 90.00°, γ = 90.00°
Closest atoms and distances in Å follow each position.
Atoms (fractional coordinates):
Be1 0.2500 0.5002 0.4998  2 Be 2.51, 6 Si 2.51
Be2 0.7500 0.4998 0.5002  2 Be 2.51, 6 Si 2.51
Si1 0.7500 0.9998 0.0002  6 Si 2.51, 2 Be 2.51
Si2 0.2500 0.0002 0.9998  6 Si 2.51, 2 Be 2.51
Si3 0.7500 0.9997 0.5002  6 Si 2.51, 2 Be 2.51
Si4 0.2500 0.0003 0.4998  6 Si 2.51, 2 Be 2.51
Si5 0.7500 0.4998 0.0003  6 Si 2.51, 2 Be 2.51
Si6 0.2500 0.5002 0.9997  6 Si 2.51, 2 Be 2.51

Values from the calculation:
The offset from the most stable computed form is 22 meV/atom. The value obtained for the uncorrected formation energy is 0.5663 eV per atom. The crystal system is hexagonal. As for the symmetry: P6/mmm, No. 191.



(18)
CoAu2: PBEsol geometry, meta-GGA SCAN.

a = 2.8085 Å, b = 4.9179 Å, c = 7.1296 Å
α = 72.36°, β = 78.64°, γ = 73.41°
Closest atoms and distances in Å follow each position.
Atoms (fractional coordinates):
Au1 0.5082 0.1976 0.7860  5 Co 2.63-2.75, 7 Au 2.81-2.94
Au2 0.8361 0.7343 0.5934  2 Co 2.66, 10 Au 2.81-2.94
Au3 0.1639 0.2657 0.4066  2 Co 2.66, 10 Au 2.81-2.94
Au4 0.4918 0.8024 0.2140  5 Co 2.63-2.75, 7 Au 2.81-2.94
Co1 0.8078 0.3072 0.0771  2 Co 2.33
Co2 0.1922 0.6928 0.9229  2 Co 2.33

Values from the calculation:
The crystal system is monoclinic. As for the symmetry: C2/m, No. 12. The value obtained for the formation energy is 0.082 eV/atom.



(19)
PtBrF3: PBEsol geometry, meta-GGA SCAN.

a = 4.3540 Å, b = 4.3540 Å, c = 4.3540 Å
α = 90.00°, β = 90.00°, γ = 90.00°
Closest atoms and distances in Å follow each position.
Atoms (fractional coordinates):
Br1 0.0000 0.0000 0.0000  6 F 2.18
Pt1 0.5000 0.5000 0.5000  12 F 3.08
F1 0.0000 0.5000 0.0000  2 Br 2.18
F2 0.0000 0.0000 0.5000  2 Br 2.18
F3 0.5000 0.0000 0.0000  2 Br 2.18

Values from the calculation:
The value obtained for the uncorrected formation energy is 0.5605 eV per atom. The crystal system is cubic. As for the symmetry: Pm-3m, No. 221.



(20)
TlSbBr3: PBEsol geometry, meta-GGA SCAN.

a = 5.5712 Å, b = 5.5712 Å, c = 5.5712 Å
α = 90.00°, β = 90.00°, γ = 90.00°
Closest atoms and distances in Å follow each position.
Atoms (fractional coordinates):
Sb1 0.5000 0.5000 0.5000  12 Br 3.94
Tl1 0.0000 0.0000 0.0000  6 Br 2.79
Br1 0.0000 0.5000 0.0000  2 Tl 2.79
Br2 0.0000 0.0000 0.5000  2 Tl 2.79
Br3 0.5000 0.0000 0.0000  2 Tl 2.79

Values from the calculation:
The value obtained for the uncorrected formation energy is 0.0904 eV per atom. The crystal system is cubic. As for the symmetry: Pm-3m, No. 221.



| no. | size of the total moment (Bohr magnetons per cell) |
| --- | --- |
| 1 | 8.024 |
| 2 | 0.000 |
| 3 | 0.000 |
| 4 | 0.000 |
| 5 | 4.507 |
| 6 | 0.000 |
| 7 | 0.000 |
| 8 | 0.000 |
| 9 | 0.000 |
| 10 | 2.650 |
| 11 | 0.000 |
| 12 | 0.000 |
| 13 | 4.530 |
| 14 | 0.000 |
| 15 | 0.000 |
| 16 | 0.001 |
| 17 | 0.000 |
| 18 | 3.997 |
| 19 | 0.911 |
| 20 | 2.213 |